Entry from Alexandria: a relaxed LaSm3Pb2 crystal (PBE-GGA).

Computed properties:
Symmetry ... No. 12
Magnetic moment ... 0.001 μB per atom
Raw total energy ... -57.58 eV/cell

```
data_LaSm3Pb2
_cell_length_a 4.7261
_cell_length_b 10.6877
_cell_length_c 9.8437
_cell_angle_alpha 124.00
_cell_angle_beta 90.00
_cell_angle_gamma 102.77
_space_group_name_H-M_alt 'P 1'
_space_group_IT_number 1
_space_group_name_Hall 'P 1'
loop_
_atom_site_label
_atom_site_type_symbol
_atom_site_fract_x
_atom_site_fract_y
_atom_site_fract_z
_atom_site_occupancy
La1 La 0.8850 0.7700 0.9023 1
La2 La 0.1150 0.2300 0.0977 1
Sm1 Sm 0.3069 0.6137 0.5012 1
Sm2 Sm 0.9429 0.8859 0.5726 1
Sm3 Sm 0.6441 0.2882 0.8066 1
Sm4 Sm 0.3559 0.7118 0.1934 1
Sm5 Sm 0.0571 0.1141 0.4274 1
Sm6 Sm 0.6931 0.3863 0.4988 1
Pb1 Pb 0.4908 0.9816 0.8307 1
Pb2 Pb 0.5092 0.0184 0.1693 1
Pb3 Pb 0.7566 0.5132 0.2228 1
Pb4 Pb 0.2434 0.4868 0.7772 1
```

***

Entry from Alexandria: a relaxed LaSmPb2 crystal (PBE-GGA).

Computed properties:
Symmetry ... No. 26
Magnetic moment ... 0.000 μB per atom
Raw total energy ... -38.57 eV/cell

```
data_LaSmPb2
_cell_length_a 4.5370
_cell_length_b 6.4605
_cell_length_c 8.8234
_cell_angle_alpha 90.00
_cell_angle_beta 90.00
_cell_angle_gamma 90.00
_space_group_name_H-M_alt 'P 1'
_space_group_IT_number 1
_space_group_name_Hall 'P 1'
loop_
_atom_site_label
_atom_site_type_symbol
_atom_site_fract_x
_atom_site_fract_y
_atom_site_fract_z
_atom_site_occupancy
La1 La 0.0000 0.1246 0.6856 1
La2 La 0.0000 0.8754 0.1856 1
Sm1 Sm 0.5000 0.3773 0.3139 1
Sm2 Sm 0.5000 0.6227 0.8139 1
Pb1 Pb 0.0000 0.5857 0.5414 1
Pb2 Pb 0.0000 0.4143 0.0414 1
Pb3 Pb 0.5000 0.9122 0.4591 1
Pb4 Pb 0.5000 0.0878 0.9591 1
```

***

Entry from Alexandria: a relaxed LaSmPb2 crystal (PBE-GGA).

Computed properties:
Symmetry ... No. 160
Magnetic moment ... 0.000 μB per atom
Raw total energy ... -18.60 eV/cell

```
data_LaSmPb2
_cell_length_a 4.9089
_cell_length_b 4.9089
_cell_length_c 7.4867
_cell_angle_alpha 70.86
_cell_angle_beta 70.86
_cell_angle_gamma 60.00
_space_group_name_H-M_alt 'P 1'
_space_group_IT_number 1
_space_group_name_Hall 'P 1'
loop_
_atom_site_label
_atom_site_type_symbol
_atom_site_fract_x
_atom_site_fract_y
_atom_site_fract_z
_atom_site_occupancy
La1 La 0.6703 0.6703 0.9890 1
Sm1 Sm 0.4952 0.4952 0.5145 1
Pb1 Pb 0.0892 0.0892 0.7323 1
Pb2 Pb 0.2453 0.2453 0.2642 1
```

***

Entry from Alexandria: a relaxed La2Sm3Pb4 crystal (PBE-GGA).

Computed properties:
Symmetry ... No. 14
Magnetic moment ... 0.000 μB per atom
Raw total energy ... -88.98 eV/cell

```
data_La2Sm3Pb4
_cell_length_a 8.3731
_cell_length_b 8.6560
_cell_length_c 8.6414
_cell_angle_alpha 90.00
_cell_angle_beta 90.00
_cell_angle_gamma 111.11
_space_group_name_H-M_alt 'P 1'
_space_group_IT_number 1
_space_group_name_Hall 'P 1'
loop_
_atom_site_label
_atom_site_type_symbol
_atom_site_fract_x
_atom_site_fract_y
_atom_site_fract_z
_atom_site_occupancy
La1 La 0.5604 0.1933 0.3199 1
La2 La 0.9396 0.8067 0.8199 1
La3 La 0.4396 0.8067 0.6801 1
La4 La 0.0604 0.1933 0.1801 1
Sm1 Sm 0.0000 0.5000 0.5000 1
Sm2 Sm 0.5000 0.5000 0.0000 1
Sm3 Sm 0.7392 0.2449 0.8380 1
Sm4 Sm 0.7608 0.7551 0.3380 1
Sm5 Sm 0.2608 0.7551 0.1620 1
Sm6 Sm 0.2392 0.2449 0.6620 1
Pb1 Pb 0.8338 0.0855 0.5399 1
Pb2 Pb 0.6662 0.9145 0.0399 1
Pb3 Pb 0.1662 0.9145 0.4601 1
Pb4 Pb 0.3338 0.0855 0.9601 1
Pb5 Pb 0.8616 0.4903 0.1389 1
Pb6 Pb 0.6384 0.5097 0.6389 1
Pb7 Pb 0.1384 0.5097 0.8611 1
Pb8 Pb 0.3616 0.4903 0.3611 1
```

***

Entry from Alexandria: a relaxed La12Sm7Pb crystal (PBE-GGA).

Computed properties:
Symmetry ... No. 12
Magnetic moment ... 0.000 μB per atom
Raw total energy ... -96.19 eV/cell

```
data_La12Sm7Pb
_cell_length_a 6.5768
_cell_length_b 10.1703
_cell_length_c 12.1851
_cell_angle_alpha 65.33
_cell_angle_beta 73.28
_cell_angle_gamma 90.03
_space_group_name_H-M_alt 'P 1'
_space_group_IT_number 1
_space_group_name_Hall 'P 1'
loop_
_atom_site_label
_atom_site_type_symbol
_atom_site_fract_x
_atom_site_fract_y
_atom_site_fract_z
_atom_site_occupancy
La1 La 0.7454 0.4246 0.1511 1
La2 La 0.1369 0.8783 0.5751 1
La3 La 0.2201 0.2531 0.1104 1
La4 La 0.6384 0.7149 0.5703 1
La5 La 0.8633 0.4532 0.4248 1
La6 La 0.7801 0.3636 0.8896 1
La7 La 0.2199 0.6364 0.1104 1
La8 La 0.1367 0.5468 0.5752 1
La9 La 0.3616 0.2851 0.4297 1
La10 La 0.7799 0.7469 0.8896 1
La11 La 0.8631 0.1217 0.4249 1
La12 La 0.2546 0.5754 0.8489 1
Sm1 Sm 0.5943 0.0422 0.2563 1
Sm2 Sm 0.0868 0.8544 0.2911 1
Sm3 Sm 0.4059 0.2987 0.7434 1
Sm4 Sm 0.5000 0.0000 0.0000 1
Sm5 Sm 0.5941 0.7013 0.2566 1
Sm6 Sm 0.9132 0.1456 0.7089 1
Sm7 Sm 0.4057 0.9578 0.7437 1
Pb1 Pb 0.0000 0.0000 0.0000 1
```

***

Entry from Alexandria: a relaxed La2SmPb2 crystal (PBE-GGA).

Computed properties:
Symmetry ... No. 127
Magnetic moment ... 0.000 μB per atom
Raw total energy ... -49.55 eV/cell

```
data_La2SmPb2
_cell_length_a 4.6799
_cell_length_b 8.4818
_cell_length_c 8.4818
_cell_angle_alpha 90.00
_cell_angle_beta 90.00
_cell_angle_gamma 90.00
_space_group_name_H-M_alt 'P 1'
_space_group_IT_number 1
_space_group_name_Hall 'P 1'
loop_
_atom_site_label
_atom_site_type_symbol
_atom_site_fract_x
_atom_site_fract_y
_atom_site_fract_z
_atom_site_occupancy
La1 La 0.5000 0.1682 0.6682 1
La2 La 0.5000 0.6682 0.8318 1
La3 La 0.5000 0.8318 0.3318 1
La4 La 0.5000 0.3318 0.1682 1
Sm1 Sm 0.0000 0.0000 0.0000 1
Sm2 Sm 0.0000 0.5000 0.5000 1
Pb1 Pb 0.0000 0.3648 0.8648 1
Pb2 Pb 0.0000 0.8648 0.6352 1
Pb3 Pb 0.0000 0.6352 0.1352 1
Pb4 Pb 0.0000 0.1352 0.3648 1
```

***

Entry from Alexandria: a relaxed La5Sm5Pb6 crystal (PBE-GGA).

Computed properties:
Symmetry ... No. 38
Magnetic moment ... 0.000 μB per atom
Raw total energy ... -79.10 eV/cell

```
data_La5Sm5Pb6
_cell_length_a 6.9304
_cell_length_b 9.4593
_cell_length_c 9.4593
_cell_angle_alpha 120.13
_cell_angle_beta 90.00
_cell_angle_gamma 90.00
_space_group_name_H-M_alt 'P 1'
_space_group_IT_number 1
_space_group_name_Hall 'P 1'
loop_
_atom_site_label
_atom_site_type_symbol
_atom_site_fract_x
_atom_site_fract_y
_atom_site_fract_z
_atom_site_occupancy
La1 La 0.7482 0.3339 0.6661 1
La2 La 0.7482 0.6661 0.3339 1
La3 La 0.2518 0.6661 0.3339 1
La4 La 0.2518 0.3339 0.6661 1
La5 La 0.0000 0.2362 0.2362 1
Sm1 Sm 0.0000 0.7620 0.0008 1
Sm2 Sm 0.0000 0.0008 0.7620 1
Sm3 Sm 0.5000 0.7652 0.7652 1
Sm4 Sm 0.5000 0.2375 0.9978 1
Sm5 Sm 0.5000 0.9978 0.2375 1
Pb1 Pb 0.0000 0.6133 0.6133 1
Pb2 Pb 0.0000 0.3928 0.9973 1
Pb3 Pb 0.0000 0.9973 0.3928 1
Pb4 Pb 0.5000 0.3877 0.3877 1
Pb5 Pb 0.5000 0.6099 0.9997 1
Pb6 Pb 0.5000 0.9997 0.6099 1
```

***

Entry from Alexandria: a relaxed LaSmPb crystal (PBE-GGA).

Computed properties:
Symmetry ... No. 107
Magnetic moment ... 0.000 μB per atom
Raw total energy ... -14.46 eV/cell

```
data_LaSmPb
_cell_length_a 4.2782
_cell_length_b 4.2782
_cell_length_c 5.9160
_cell_angle_alpha 111.20
_cell_angle_beta 111.20
_cell_angle_gamma 90.00
_space_group_name_H-M_alt 'P 1'
_space_group_IT_number 1
_space_group_name_Hall 'P 1'
loop_
_atom_site_label
_atom_site_type_symbol
_atom_site_fract_x
_atom_site_fract_y
_atom_site_fract_z
_atom_site_occupancy
Pb1 Pb 0.2868 0.2868 0.5736 1
Sm1 Sm 0.9361 0.9361 0.8722 1
La1 La 0.6271 0.6271 0.2542 1
```

***

Entry from Alexandria: a relaxed La5SmPb2 crystal (PBE-GGA).

Computed properties:
Symmetry ... No. 55
Magnetic moment ... 0.000 μB per atom
Raw total energy ... -79.55 eV/cell

```
data_La5SmPb2
_cell_length_a 5.0328
_cell_length_b 7.1612
_cell_length_c 14.3151
_cell_angle_alpha 90.00
_cell_angle_beta 90.00
_cell_angle_gamma 90.00
_space_group_name_H-M_alt 'P 1'
_space_group_IT_number 1
_space_group_name_Hall 'P 1'
loop_
_atom_site_label
_atom_site_type_symbol
_atom_site_fract_x
_atom_site_fract_y
_atom_site_fract_z
_atom_site_occupancy
La1 La 0.0000 0.0000 0.0000 1
La2 La 0.0000 0.5000 0.5000 1
La3 La 0.0000 0.4914 0.7521 1
La4 La 0.0000 0.5086 0.2479 1
La5 La 0.0000 0.0086 0.2521 1
La6 La 0.0000 0.9914 0.7479 1
La7 La 0.5000 0.2449 0.8747 1
La8 La 0.5000 0.7551 0.1253 1
La9 La 0.5000 0.2551 0.3747 1
La10 La 0.5000 0.7449 0.6253 1
Sm1 Sm 0.0000 0.0000 0.5000 1
Sm2 Sm 0.0000 0.5000 0.0000 1
Pb1 Pb 0.5000 0.2423 0.6230 1
Pb2 Pb 0.5000 0.7577 0.3770 1
Pb3 Pb 0.5000 0.2577 0.1230 1
Pb4 Pb 0.5000 0.7423 0.8770 1
```

***

Entry from Alexandria: a relaxed La3SmPb2 crystal (PBE-GGA).

Computed properties:
Symmetry ... No. 115
Magnetic moment ... 0.000 μB per atom
Raw total energy ... -29.72 eV/cell

```
data_La3SmPb2
_cell_length_a 4.7758
_cell_length_b 4.7758
_cell_length_c 9.0299
_cell_angle_alpha 90.00
_cell_angle_beta 90.00
_cell_angle_gamma 90.00
_space_group_name_H-M_alt 'P 1'
_space_group_IT_number 1
_space_group_name_Hall 'P 1'
loop_
_atom_site_label
_atom_site_type_symbol
_atom_site_fract_x
_atom_site_fract_y
_atom_site_fract_z
_atom_site_occupancy
La1 La 0.5000 0.0000 0.3487 1
La2 La 0.0000 0.5000 0.6513 1
La3 La 0.0000 0.0000 0.0000 1
Sm1 Sm 0.5000 0.5000 0.0000 1
Pb1 Pb 0.5000 0.0000 0.7217 1
Pb2 Pb 0.0000 0.5000 0.2783 1
```

***

Entry from Alexandria: a relaxed La3Sm2Pb4 crystal (PBE-GGA).

Computed properties:
Symmetry ... No. 12
Magnetic moment ... 0.000 μB per atom
Raw total energy ... -43.79 eV/cell

```
data_La3Sm2Pb4
_cell_length_a 5.1868
_cell_length_b 7.1094
_cell_length_c 8.8399
_cell_angle_alpha 103.77
_cell_angle_beta 107.06
_cell_angle_gamma 90.00
_space_group_name_H-M_alt 'P 1'
_space_group_IT_number 1
_space_group_name_Hall 'P 1'
loop_
_atom_site_label
_atom_site_type_symbol
_atom_site_fract_x
_atom_site_fract_y
_atom_site_fract_z
_atom_site_occupancy
La1 La 0.1205 0.5733 0.2409 1
La2 La 0.8795 0.4267 0.7591 1
La3 La 0.0000 0.0000 0.0000 1
Sm1 Sm 0.6639 0.0775 0.3278 1
Sm2 Sm 0.3361 0.9225 0.6722 1
Pb1 Pb 0.4956 0.7132 0.9911 1
Pb2 Pb 0.2447 0.2755 0.4894 1
Pb3 Pb 0.5044 0.2868 0.0089 1
Pb4 Pb 0.7553 0.7245 0.5106 1
```

***

DOS at the Fermi energy, record by record: 7.2, 3.1, 3.8, 7.4, 28.5, 6.7, 15.1, 3.6, 12.1, 9.1, 4.5 states/eV/f.u.